# Tb2Sm2Ga4Cu

Crystalline Tb2Sm2Ga4Cu at its relaxed geometry (GGA-PBE, Alexandria via LeMat-Bulk).

Summary:
ΔH_f (0 K): -0.33 eV/atom
Total energy: -4.203 eV/atom

abc: 6.5680 6.5680 6.5680
angles: 115.54 115.54 97.91
Positions (direct):
1 Tb 0.2500 0.7500 0.5000
2 Tb 0.7500 0.2500 0.5000
3 Sm 0.1895 0.1895 0.0000
4 Sm 0.8105 0.8105 0.0000
5 Ga 0.2622 0.2622 0.5245
6 Ga 0.2622 0.7378 0.0000
7 Ga 0.7378 0.2622 0.0000
8 Ga 0.7378 0.7378 0.4755
9 Cu 0.5000 0.5000 0.0000